(1)
! K3Er3TaS8 PBE-GGA relaxed; values from VASP
&SYSTEM
  ibrav = 0, nat = 15, ntyp = 4
/
ATOMIC_SPECIES
K 39.10 K.upf
Er 167.26 Er.upf
Ta 180.95 Ta.upf
S 32.06 S.upf
CELL_PARAMETERS angstrom
3.8907 2.2463 7.5243
-3.8907 2.2463 7.5243
0.0000 -4.4925 7.5243
ATOMIC_POSITIONS angstrom
K -1.9453 -1.1231 7.5243
K -1.9453 1.1231 15.0486
K 0.0000 2.2463 7.5243
Er -3.8907 0.0000 11.2864
Er -1.9453 1.1231 3.7621
Er 1.9453 1.1231 3.7621
Ta 0.0000 0.0000 11.2864
S 0.0000 0.0000 5.2771
S -1.8144 -1.0476 12.7172
S 0.0000 -2.0951 9.8557
S -1.8144 1.0476 9.8557
S 1.8144 -1.0476 12.7172
S 0.0000 2.0951 12.7172
S 1.8144 1.0476 9.8557
S 0.0000 0.0000 17.2958
! - DFT total energy: -5.792 eV per atom
! - Formation energy without anion corrections: -1.6689 eV per atom
! - Total magnetization: 0.998 μB per cell
! - SG: No. 166
! - Theoretical density: 4.45 g/cm³

=====

(2)
! CdTc2W PBE-GGA relaxed; values from VASP
&SYSTEM
  ibrav = 0, nat = 4, ntyp = 3
/
ATOMIC_SPECIES
Cd 112.41 Cd.upf
Tc 98.00 Tc.upf
W 183.84 W.upf
CELL_PARAMETERS angstrom
3.3442 0.0000 0.0000
0.0000 3.3442 0.0000
0.0000 0.0000 6.0502
ATOMIC_POSITIONS angstrom
Cd 0.0000 0.0000 0.0000
Tc 0.0000 0.0000 3.0408
Tc 1.6721 1.6721 1.7051
W 1.6721 1.6721 4.1945
! - DFT total energy: -8.147 eV per atom
! - Energy of formation from the pure elements: 0.50 eV/atom
! - Total magnetization: 0.000 μB per cell
! - SG: No. 99
! - Theoretical density: 12.08 g/cm³

=====

(3)
! NbZnH3 PBE-GGA relaxed; values from VASP
&SYSTEM
  ibrav = 0, nat = 5, ntyp = 3
/
ATOMIC_SPECIES
Nb 92.91 Nb.upf
Zn 65.41 Zn.upf
H 1.01 H.upf
CELL_PARAMETERS angstrom
3.6296 0.0000 0.0000
0.0000 3.6296 0.0000
0.0000 0.0000 3.6296
ATOMIC_POSITIONS angstrom
Nb 0.0000 0.0000 0.0000
Zn 1.8148 1.8148 1.8148
H 0.0000 0.0000 1.8148
H 0.0000 1.8148 0.0000
H 1.8148 0.0000 0.0000
! - DFT total energy: -4.058 eV per atom
! - Total magnetization: 0.000 μB per cell
! - SG: No. 221
! - Theoretical density: 5.60 g/cm³

=====

(4)
! K2Cd4InSn3 PBE-GGA relaxed; values from VASP
&SYSTEM
  ibrav = 0, nat = 10, ntyp = 4
/
ATOMIC_SPECIES
K 39.10 K.upf
Cd 112.41 Cd.upf
In 114.82 In.upf
Sn 118.71 Sn.upf
CELL_PARAMETERS angstrom
4.7926 0.0000 0.0000
0.0000 4.7926 0.0000
0.0000 0.0000 12.9174
ATOMIC_POSITIONS angstrom
K 0.0000 2.3963 3.1751
K 2.3963 0.0000 9.7423
Cd 0.0000 0.0000 0.0000
Cd 0.0000 2.3963 8.3200
Cd 2.3963 0.0000 4.5974
Cd 2.3963 2.3963 0.0000
In 0.0000 0.0000 6.4587
Sn 0.0000 2.3963 11.1759
Sn 2.3963 0.0000 1.7415
Sn 2.3963 2.3963 6.4587
! - DFT total energy: -2.198 eV per atom
! - Energy of formation from the pure elements: -0.14 eV/atom
! - Total magnetization: 0.000 μB per cell
! - SG: No. 115
! - Theoretical density: 5.59 g/cm³

=====

(5)
! EuThAgPt PBE-GGA relaxed; values from VASP
&SYSTEM
  ibrav = 0, nat = 4, ntyp = 4
/
ATOMIC_SPECIES
Eu 151.96 Eu.upf
Th 232.04 Th.upf
Ag 107.87 Ag.upf
Pt 195.08 Pt.upf
CELL_PARAMETERS angstrom
0.0000 3.6693 3.6693
3.6693 0.0000 3.6693
3.6693 3.6693 0.0000
ATOMIC_POSITIONS angstrom
Eu 0.0000 0.0000 0.0000
Th 3.6693 3.6693 3.6693
Ag 5.5039 5.5039 5.5039
Pt 1.8346 1.8346 1.8346
! - DFT total energy: -7.202 eV per atom
! - Energy of formation from the pure elements: -0.56 eV/atom
! - Total magnetization: 7.044 μB per cell
! - SG: No. 216
! - Theoretical density: 11.55 g/cm³

=====

(6)
! LaCeSmGd PBE-GGA relaxed; values from VASP
&SYSTEM
  ibrav = 0, nat = 4, ntyp = 4
/
ATOMIC_SPECIES
La 138.91 La.upf
Ce 140.12 Ce.upf
Sm 150.36 Sm.upf
Gd 157.25 Gd.upf
CELL_PARAMETERS angstrom
0.0000 4.0852 4.0852
4.0852 0.0000 4.0852
4.0852 4.0852 0.0000
ATOMIC_POSITIONS angstrom
La 0.0000 0.0000 0.0000
Ce 2.0426 2.0426 2.0426
Sm 6.1279 6.1279 6.1279
Gd 4.0852 4.0852 4.0852
! - DFT total energy: -7.232 eV per atom
! - Energy of formation from the pure elements: 0.18 eV/atom
! - Total magnetization: 10.304 μB per cell
! - SG: No. 216
! - Theoretical density: 7.14 g/cm³

=====

(7)
! KAlPt PBE-GGA relaxed; values from VASP
&SYSTEM
  ibrav = 0, nat = 6, ntyp = 3
/
ATOMIC_SPECIES
K 39.10 K.upf
Al 26.98 Al.upf
Pt 195.08 Pt.upf
CELL_PARAMETERS angstrom
4.2864 0.0000 0.0000
0.0000 4.2864 0.0000
0.0000 0.0000 8.5445
ATOMIC_POSITIONS angstrom
K 1.0716 1.0716 1.3238
K 3.2148 3.2148 7.2207
Al 1.0716 3.2148 4.2723
Al 3.2148 1.0716 4.2723
Pt 1.0716 1.0716 5.5720
Pt 3.2148 3.2148 2.9725
! - DFT total energy: -4.181 eV per atom
! - Energy of formation from the pure elements: -0.55 eV/atom
! - Total magnetization: 0.000 μB per cell
! - SG: No. 129
! - Theoretical density: 5.52 g/cm³
! - Energy above the lowest structure with this stoichiometry: 0.0 meV per atom

=====

(8)
! Pu3MgPt2 PBE-GGA relaxed; values from VASP
&SYSTEM
  ibrav = 0, nat = 6, ntyp = 3
/
ATOMIC_SPECIES
Pu 244.00 Pu.upf
Mg 24.30 Mg.upf
Pt 195.08 Pt.upf
CELL_PARAMETERS angstrom
2.3986 -7.0137 0.0000
2.3986 7.0137 0.0000
0.0000 0.0000 3.9947
ATOMIC_POSITIONS angstrom
Pu 0.0000 0.0000 0.0000
Pu 2.3986 2.6153 0.0000
Pu 2.3986 -2.6153 0.0000
Mg 2.3986 0.0000 1.9973
Pt 2.3986 4.9823 1.9973
Pt 2.3986 -4.9823 1.9973
! - DFT total energy: -9.910 eV per atom
! - Energy of formation from the pure elements: -0.46 eV/atom
! - Total magnetization: 16.709 μB per cell
! - SG: No. 65
! - Theoretical density: 14.16 g/cm³

=====

Question: Look up the theoretical density of the eighth one.
Answer: 14.16 g/cm³

=====

Question: What is the formula in the seventh record?
Answer: KAlPt

=====

Question: theoretical density of number 8 (Pu3MgPt2)?
Answer: 14.16 g/cm³